Model A:
Here is a relaxed structure of Zr6Sn2C from Alexandria via LeMat-Bulk. Energies are from PBE-GGA.

Calculated values
Calculated volume ... 21.6 Å³ per atom
ρ ... 6.81 Mg/m³

Unit cell a=5.9901 b=7.1348 c=9.0999 alpha=90.00 beta=91.58 gamma=90.00
Closest atoms and distances in Å follow each position.
Fractional positions:
Sn1 0.0787 0.6022 0.2566  8 Zr 2.89-3.02
Zr1 0.1673 0.3302 0.0296  1 C 2.35
Zr2 0.1055 0.0146 0.7515  1 C 2.36
Sn2 0.9213 0.3978 0.7434  8 Zr 2.89-3.02
C1 0.5000 0.5000 0.0000  6 Zr 2.30-2.36
Zr3 0.8327 0.6698 0.9704  1 C 2.35
Zr4 0.1503 0.2918 0.4637  1 C 2.30
Zr5 0.8497 0.7082 0.5363  1 C 2.30
Sn3 0.4213 0.1022 0.2434  8 Zr 2.89-3.02
Zr6 0.6503 0.2082 0.9637  1 C 2.30
C2 0.0000 0.0000 0.5000  6 Zr 2.30-2.36
Zr7 0.3497 0.7918 0.0363  1 C 2.30
Sn4 0.5787 0.8978 0.7566  8 Zr 2.89-3.02
Zr8 0.6673 0.1698 0.5296  1 C 2.35
Zr9 0.3945 0.5146 0.7485  1 C 2.36
Zr10 0.6055 0.4854 0.2515  1 C 2.36
Zr11 0.3327 0.8302 0.4704  1 C 2.35
Zr12 0.8945 0.9854 0.2485  1 C 2.36

Model B:
Here is a relaxed structure of Zr6Sn2C from Alexandria via LeMat-Bulk. Energies are from PBE-GGA.

Calculated values
Calculated volume ... 20.7 Å³ per atom
ρ ... 7.10 Mg/m³

Unit cell a=6.4243 b=6.4246 c=9.0336 alpha=90.00 beta=90.00 gamma=90.00
Closest atoms and distances in Å follow each position.
Fractional positions:
Zr1 0.9999 0.0000 0.7544  1 C 2.30
Sn1 0.0000 0.5000 0.7500  12 Zr 3.18-3.23
Zr2 0.4999 0.5000 0.2544  1 C 2.30
Zr3 0.7430 0.7506 0.5000  1 C 2.30
Sn2 0.5000 0.0000 0.2500  12 Zr 3.18-3.23
Zr4 0.2507 0.2429 0.0000  1 C 2.30
Zr5 0.2570 0.2494 0.5000  1 C 2.30
Zr6 0.7507 0.2571 0.5000  1 C 2.30
Sn3 0.5000 0.0000 0.7500  12 Zr 3.18-3.23
C1 0.5000 0.5000 0.0000  6 Zr 2.30
Zr7 0.7493 0.7571 0.0000  1 C 2.30
C2 0.0000 0.0000 0.5000  6 Zr 2.30
Sn4 0.0000 0.5000 0.2500  12 Zr 3.18-3.23
Zr8 0.5001 0.5000 0.7456  1 C 2.30
Zr9 0.2493 0.7429 0.5000  1 C 2.30
Zr10 0.2430 0.7494 0.0000  1 C 2.30
Zr11 0.0001 0.0000 0.2456  1 C 2.30
Zr12 0.7570 0.2506 0.0000  1 C 2.30

Which of them is the most stable, and which is the least stable? model B and model A, in that order.

Model A:
Here is a relaxed structure of Sr2C from Alexandria via LeMat-Bulk. Energies are from PBE-GGA.

Calculated values
Calculated volume ... 32.6 Å³ per atom
ρ ... 3.18 Mg/m³

Unit cell a=3.8802 b=3.8802 c=15.0209 alpha=90.00 beta=90.00 gamma=120.00
Closest atoms and distances in Å follow each position.
Fractional positions:
C1 0.3333 0.6667 0.2500  6 Sr 2.74
Sr1 0.0000 0.0000 0.1454  3 C 2.74
Sr2 0.0000 0.0000 0.3546  3 C 2.74
C2 0.6667 0.3333 0.7500  6 Sr 2.74
Sr3 0.0000 0.0000 0.8546  3 C 2.74
Sr4 0.0000 0.0000 0.6454  3 C 2.74

Model B:
Here is a relaxed structure of Sr2C from Alexandria via LeMat-Bulk. Energies are from PBE-GGA.

Calculated values
Calculated volume ... 30.4 Å³ per atom
ρ ... 3.41 Mg/m³

Unit cell a=6.5395 b=6.5395 c=4.2641 alpha=90.00 beta=90.00 gamma=90.00
Closest atoms and distances in Å follow each position.
Fractional positions:
C1 0.5000 0.5000 0.5000  6 Sr 2.78-2.84
Sr1 0.6932 0.3068 0.0000  3 C 2.78-2.84
Sr2 0.8068 0.8068 0.5000  3 C 2.78-2.84
Sr3 0.1932 0.1932 0.5000  3 C 2.78-2.84
C2 0.0000 0.0000 0.0000  6 Sr 2.78-2.84
Sr4 0.3068 0.6932 0.0000  3 C 2.78-2.84

Model C:
Here is a relaxed structure of Sr2C from Alexandria via LeMat-Bulk. Energies are from PBE-GGA.

Calculated values
Calculated volume ... 32.4 Å³ per atom
ρ ... 3.19 Mg/m³

Unit cell a=5.4551 b=5.4528 c=13.0872 alpha=90.00 beta=90.00 gamma=90.00
Closest atoms and distances in Å follow each position.
Fractional positions:
Sr1 0.7500 0.9993 0.6648  3 C 2.75-2.78
Sr2 0.7500 0.4993 0.8352  3 C 2.75-2.78
Sr3 0.7500 0.0008 0.0852  3 C 2.75-2.78
Sr4 0.2500 0.0007 0.3352  3 C 2.75-2.78
C1 0.2500 0.5009 0.3750  6 Sr 2.75-2.78
C2 0.2500 0.0009 0.1250  6 Sr 2.75-2.78
C3 0.7500 0.9991 0.8750  6 Sr 2.75-2.78
Sr5 0.2500 0.4992 0.5852  3 C 2.75-2.78
Sr6 0.2500 0.9992 0.9148  3 C 2.75-2.78
C4 0.7500 0.4991 0.6250  6 Sr 2.75-2.78
Sr7 0.2500 0.5007 0.1648  3 C 2.75-2.78
Sr8 0.7500 0.5008 0.4148  3 C 2.75-2.78

Model D:
Here is a relaxed structure of Sr2C from Alexandria via LeMat-Bulk. Energies are from PBE-GGA.

Calculated values
Calculated volume ... 26.8 Å³ per atom
ρ ... 3.86 Mg/m³

Unit cell a=4.9854 b=4.9854 c=6.4802 alpha=90.00 beta=90.00 gamma=90.00
Closest atoms and distances in Å follow each position.
Fractional positions:
Sr1 0.0000 0.0000 0.0000  4 C 2.79
Sr2 0.5000 0.5000 0.0000  4 C 2.79
Sr3 0.0000 0.5000 0.5835  1 C 2.53
C1 0.0000 0.5000 0.1924  5 Sr 2.53-2.79
Sr4 0.5000 0.0000 0.4165  1 C 2.53
C2 0.5000 0.0000 0.8076  5 Sr 2.53-2.79

Which of them is the most stable, and which is the least stable? model B and model A, in that order.

Model A:
Here is a relaxed structure of Sr2C from Alexandria via LeMat-Bulk. Energies are from PBE-GGA.

Calculated values
Calculated volume ... 30.3 Å³ per atom
ρ ... 3.42 Mg/m³

Unit cell a=4.0950 b=4.0950 c=5.4174 alpha=90.00 beta=90.00 gamma=90.00
Closest atoms and distances in Å follow each position.
Fractional positions:
C1 0.0000 0.0000 0.0000  6 Sr 2.71-2.90
Sr1 0.5000 0.5000 0.0000  4 C 2.90
Sr2 0.0000 0.0000 0.5000  2 C 2.71

Model B:
Here is a relaxed structure of Sr2C from Alexandria via LeMat-Bulk. Energies are from PBE-GGA.

Calculated values
Calculated volume ... 28.6 Å³ per atom
ρ ... 3.62 Mg/m³

Unit cell a=10.4051 b=10.4051 c=4.8967 alpha=90.00 beta=90.00 gamma=161.11
Closest atoms and distances in Å follow each position.
Fractional positions:
Sr1 0.6673 0.3327 0.2500  2 C 2.60
Sr2 0.4531 0.5469 0.2500  6 C 2.98-3.03, 2 Sr 3.11
C1 0.0720 0.9280 0.2500  2 Sr 2.60
C2 0.9280 0.0720 0.7500  2 Sr 2.60
Sr3 0.5469 0.4531 0.7500  6 C 2.98-3.03, 2 Sr 3.11
Sr4 0.3327 0.6673 0.7500  2 C 2.60

Which of them is the most stable, and which is the least stable? model A and model B, in that order.

Model A:
Here is a relaxed structure of Sr5C from Alexandria via LeMat-Bulk. Energies are from PBE-GGA.

Calculated values
Calculated volume ... 41.1 Å³ per atom
ρ ... 3.03 Mg/m³

Unit cell a=14.5732 b=14.5732 c=4.5639 alpha=90.00 beta=90.00 gamma=165.25
Closest atoms and distances in Å follow each position.
Fractional positions:
Sr1 0.4214 0.5786 0.0000  2 C 2.94, 2 Sr 3.22
Sr2 0.8148 0.1852 0.5000  4 Sr 3.74-4.19
Sr3 0.5000 0.5000 0.5000  4 C 2.95, 4 Sr 3.22
Sr4 0.5786 0.4214 0.0000  2 C 2.94, 2 Sr 3.22
C1 0.0000 0.0000 0.0000  8 Sr 2.94-2.95
Sr5 0.1852 0.8148 0.5000  4 Sr 3.74-4.19

Model B:
Here is a relaxed structure of Sr5C from Alexandria via LeMat-Bulk. Energies are from PBE-GGA.

Calculated values
Calculated volume ... 55.5 Å³ per atom
ρ ... 2.24 Mg/m³

Unit cell a=7.7797 b=7.7797 c=7.7797 alpha=60.00 beta=60.00 gamma=60.00
Closest atoms and distances in Å follow each position.
Fractional positions:
Sr1 0.6243 0.6243 0.1270  6 Sr 3.87-3.91
Sr2 0.2500 0.2500 0.2500  12 Sr 4.56, 4 C 4.76
Sr3 0.1270 0.6243 0.6243  6 Sr 3.87-3.91
Sr4 0.6243 0.1270 0.6243  6 Sr 3.87-3.91
Sr5 0.6243 0.6243 0.6243  6 Sr 3.87-3.91
C1 0.0000 0.0000 0.0000  16 Sr 4.56-4.76

Which of them is the most stable, and which is the least stable? model A and model B, in that order.

Model A:
Here is a relaxed structure of Sr5C from Alexandria via LeMat-Bulk. Energies are from PBE-GGA.

Calculated values
Calculated volume ... 39.0 Å³ per atom
ρ ... 3.19 Mg/m³

Unit cell a=3.6995 b=3.6995 c=17.1086 alpha=90.00 beta=90.00 gamma=90.00
Closest atoms and distances in Å follow each position.
Fractional positions:
Sr1 0.0000 0.0000 0.5000  4 Sr 3.70
Sr2 0.0000 0.0000 0.9113  4 C 3.02, 1 Sr 3.04
C1 0.5000 0.5000 0.0000  8 Sr 3.02
Sr3 0.0000 0.0000 0.0887  4 C 3.02, 1 Sr 3.04
Sr4 0.5000 0.5000 0.6996  4 Sr 3.70
Sr5 0.5000 0.5000 0.3004  4 Sr 3.70

Model B:
Here is a relaxed structure of Sr5C from Alexandria via LeMat-Bulk. Energies are from PBE-GGA.

Calculated values
Calculated volume ... 46.2 Å³ per atom
ρ ... 2.70 Mg/m³

Unit cell a=9.0853 b=9.0853 c=3.8791 alpha=90.00 beta=90.00 gamma=120.00
Closest atoms and distances in Å follow each position.
Fractional positions:
Sr1 0.0000 0.7878 0.0000  2 C 2.73
Sr2 0.3333 0.6667 0.5000  8 Sr 3.88-4.18
C1 0.0000 0.0000 0.5000  6 Sr 2.73
Sr3 0.6667 0.3333 0.5000  8 Sr 3.88-4.18
Sr4 0.2122 0.2122 0.0000  2 C 2.73
Sr5 0.7878 0.0000 0.0000  2 C 2.73

Which of them is the most stable, and which is the least stable? model B and model A, in that order.

Model A:
Here is a relaxed structure of SrC from Alexandria via LeMat-Bulk. Energies are from PBE-GGA.

Calculated values
Calculated volume ... 35.5 Å³ per atom
ρ ... 2.33 Mg/m³

Unit cell a=7.5252 b=7.5252 c=7.5252 alpha=90.00 beta=90.00 gamma=90.00
Closest atoms and distances in Å follow each position.
Fractional positions:
C1 0.0000 0.7500 0.5000  4 Sr 2.66
C2 0.5000 0.0000 0.2500  4 Sr 2.66
Sr1 0.2500 0.0000 0.5000  4 C 2.66
Sr2 0.5000 0.2500 0.0000  4 C 2.66
Sr3 0.5000 0.7500 0.0000  4 C 2.66
Sr4 0.0000 0.5000 0.2500  4 C 2.66
C3 0.5000 0.0000 0.7500  4 Sr 2.66
C4 0.7500 0.5000 0.0000  4 Sr 2.66
Sr5 0.0000 0.5000 0.7500  4 C 2.66
Sr6 0.7500 0.0000 0.5000  4 C 2.66
C5 0.0000 0.2500 0.5000  4 Sr 2.66
C6 0.2500 0.5000 0.0000  4 Sr 2.66

Model B:
Here is a relaxed structure of SrC from Alexandria via LeMat-Bulk. Energies are from PBE-GGA.

Calculated values
Calculated volume ... 21.8 Å³ per atom
ρ ... 3.80 Mg/m³

Unit cell a=3.6287 b=3.6287 c=15.2737 alpha=90.00 beta=90.00 gamma=120.00
Closest atoms and distances in Å follow each position.
Fractional positions:
C1 0.0000 0.0000 0.7500  3 C 2.10
Sr1 0.3333 0.6667 0.1337  6 C 2.75
Sr2 0.6667 0.3333 0.8663  6 C 2.75
Sr3 0.3333 0.6667 0.3663  6 C 2.75
C2 0.3333 0.6667 0.7500  3 C 2.10
Sr4 0.6667 0.3333 0.6337  6 C 2.75
C3 0.6667 0.3333 0.2500  3 C 2.10
C4 0.0000 0.0000 0.2500  3 C 2.10

Model C:
Here is a relaxed structure of SrC from Alexandria via LeMat-Bulk. Energies are from PBE-GGA.

Calculated values
Calculated volume ... 18.8 Å³ per atom
ρ ... 4.40 Mg/m³

Unit cell a=3.3508 b=3.3508 c=3.3508 alpha=90.00 beta=90.00 gamma=90.00
Closest atoms and distances in Å follow each position.
Fractional positions:
C1 0.0000 0.0000 0.0000  8 Sr 2.90
Sr1 0.5000 0.5000 0.5000  8 C 2.90

Model D:
Here is a relaxed structure of SrC from Alexandria via LeMat-Bulk. Energies are from PBE-GGA.

Calculated values
Calculated volume ... 21.4 Å³ per atom
ρ ... 3.86 Mg/m³

Unit cell a=5.8306 b=5.8306 c=4.3663 alpha=90.00 beta=90.00 gamma=120.00
Closest atoms and distances in Å follow each position.
Fractional positions:
Sr1 0.6667 0.3333 0.5000  6 C 2.76
Sr2 0.0000 0.0000 0.0000  6 C 2.92
C1 0.0000 0.5000 0.0000  6 Sr 2.76-2.92, 4 C 2.92
Sr3 0.3333 0.6667 0.5000  6 C 2.76
C2 0.5000 0.5000 0.0000  6 Sr 2.76-2.92, 4 C 2.92
C3 0.5000 0.0000 0.0000  6 Sr 2.76-2.92, 4 C 2.92

Which of them is the most stable, and which is the least stable? model B and model A, in that order.